Record 1
{"formula": "LaZn", "functional": "PBE", "state": "optimized geometry", "cell": [[5.354, 0.000, 0.000], [0.000, 8.309, 2.916], [0.000, -8.309, 2.916]], "species": ["La", "La", "La", "La", "La", "Zn", "Zn", "Zn", "Zn", "Zn"], "fractional_positions": [[0.000, 0.000, 0.000], [0.000, 0.458, 0.685], [0.000, 0.685, 0.458], [0.500, 0.057, 0.292], [0.500, 0.292, 0.057], [0.000, 0.236, 0.834], [0.000, 0.834, 0.236], [0.500, 0.504, 0.903], [0.500, 0.680, 0.680], [0.500, 0.903, 0.504]], "total_magnetization_mub_per_fu": 0.00, "vol_a3_per_atom": 25.9, "crystal_system": "orthorhombic", "ef_ev_per_atom": -0.109, "final_energy_ev_per_cell": -32.03}


Record 2
{"formula": "LaZn", "functional": "PBE", "state": "optimized geometry", "cell": [[7.082, 0.000, 0.000], [-3.541, 6.133, 0.000], [0.000, 0.000, 4.533]], "species": ["La", "La", "La", "La", "Zn", "Zn", "Zn", "Zn"], "fractional_positions": [[0.000, 0.000, 0.000], [0.363, 0.182, 0.500], [0.818, 0.182, 0.500], [0.818, 0.637, 0.500], [0.081, 0.540, 0.000], [0.333, 0.667, 0.500], [0.460, 0.540, 0.000], [0.460, 0.919, 0.000]], "total_magnetization_mub_per_fu": 0.03, "vol_a3_per_atom": 24.6, "crystal_system": "hexagonal", "ef_ev_per_atom": 0.002, "final_energy_ev_per_cell": -24.73}


Record 3
{"formula": "LaZn", "functional": "PBE", "state": "optimized geometry", "cell": [[6.852, 0.000, 0.000], [0.000, 5.177, 0.000], [-1.617, 0.000, 8.644]], "species": ["La", "La", "La", "La", "La", "La", "Zn", "Zn", "Zn", "Zn", "Zn", "Zn"], "fractional_positions": [[0.149, 0.250, 0.044], [0.208, 0.750, 0.321], [0.345, 0.750, 0.873], [0.655, 0.250, 0.127], [0.792, 0.250, 0.679], [0.851, 0.750, 0.956], [0.005, 0.250, 0.400], [0.285, 0.250, 0.660], [0.446, 0.250, 0.406], [0.554, 0.750, 0.594], [0.715, 0.750, 0.340], [0.995, 0.750, 0.600]], "total_magnetization_mub_per_fu": 0.00, "vol_a3_per_atom": 25.6, "crystal_system": "monoclinic", "ef_ev_per_atom": -0.130, "final_energy_ev_per_cell": -38.69}


Record 4
{"formula": "LaZn", "functional": "PBE", "state": "optimized geometry", "cell": [[4.828, 0.000, 0.000], [0.000, 10.466, 0.000], [0.000, 0.000, 6.077]], "species": ["La", "La", "La", "La", "La", "La", "Zn", "Zn", "Zn", "Zn", "Zn", "Zn"], "fractional_positions": [[0.000, 0.046, 0.000], [0.000, 0.323, 0.598], [0.000, 0.677, 0.098], [0.000, 0.954, 0.500], [0.500, 0.224, 0.161], [0.500, 0.776, 0.661], [0.000, 0.392, 0.089], [0.000, 0.608, 0.589], [0.500, 0.116, 0.662], [0.500, 0.488, 0.858], [0.500, 0.512, 0.358], [0.500, 0.884, 0.162]], "total_magnetization_mub_per_fu": 0.04, "vol_a3_per_atom": 25.6, "crystal_system": "orthorhombic", "ef_ev_per_atom": -0.191, "final_energy_ev_per_cell": -39.42}


Record 5
{"formula": "LaZn", "functional": "PBE", "state": "optimized geometry", "cell": [[3.752, 0.000, 0.000], [0.000, 3.752, 0.000], [0.000, 0.000, 3.752]], "species": ["La", "Zn"], "fractional_positions": [[0.000, 0.000, 0.000], [0.500, 0.500, 0.500]], "total_magnetization_mub_per_fu": 0.00, "vol_a3_per_atom": 26.4, "crystal_system": "cubic", "ef_ev_per_atom": -0.323, "final_energy_ev_per_cell": -6.83}


Record 6
{"formula": "LaZn", "functional": "PBE", "state": "optimized geometry", "cell": [[4.025, 0.000, 0.000], [0.000, 5.303, 0.000], [0.000, 0.000, 9.951]], "species": ["La", "La", "La", "La", "Zn", "Zn", "Zn", "Zn"], "fractional_positions": [[0.250, 0.250, 0.050], [0.250, 0.750, 0.302], [0.750, 0.250, 0.698], [0.750, 0.750, 0.950], [0.250, 0.250, 0.466], [0.250, 0.750, 0.702], [0.750, 0.250, 0.298], [0.750, 0.750, 0.534]], "total_magnetization_mub_per_fu": 0.00, "vol_a3_per_atom": 26.5, "crystal_system": "orthorhombic", "ef_ev_per_atom": -0.185, "final_energy_ev_per_cell": -26.23}


What did the sixth record say?
{"formula": "LaZn", "functional": "PBE", "state": "optimized geometry", "cell": [[4.025, 0.000, 0.000], [0.000, 5.303, 0.000], [0.000, 0.000, 9.951]], "species": ["La", "La", "La", "La", "Zn", "Zn", "Zn", "Zn"], "fractional_positions": [[0.250, 0.250, 0.050], [0.250, 0.750, 0.302], [0.750, 0.250, 0.698], [0.750, 0.750, 0.950], [0.250, 0.250, 0.466], [0.250, 0.750, 0.702], [0.750, 0.250, 0.298], [0.750, 0.750, 0.534]], "total_magnetization_mub_per_fu": 0.00, "vol_a3_per_atom": 26.5, "crystal_system": "orthorhombic", "ef_ev_per_atom": -0.185, "final_energy_ev_per_cell": -26.23}


Repeat the third record exactly.
{"formula": "LaZn", "functional": "PBE", "state": "optimized geometry", "cell": [[6.852, 0.000, 0.000], [0.000, 5.177, 0.000], [-1.617, 0.000, 8.644]], "species": ["La", "La", "La", "La", "La", "La", "Zn", "Zn", "Zn", "Zn", "Zn", "Zn"], "fractional_positions": [[0.149, 0.250, 0.044], [0.208, 0.750, 0.321], [0.345, 0.750, 0.873], [0.655, 0.250, 0.127], [0.792, 0.250, 0.679], [0.851, 0.750, 0.956], [0.005, 0.250, 0.400], [0.285, 0.250, 0.660], [0.446, 0.250, 0.406], [0.554, 0.750, 0.594], [0.715, 0.750, 0.340], [0.995, 0.750, 0.600]], "total_magnetization_mub_per_fu": 0.00, "vol_a3_per_atom": 25.6, "crystal_system": "monoclinic", "ef_ev_per_atom": -0.130, "final_energy_ev_per_cell": -38.69}